! PBE RbAg2GeI6, optimized geometry; values from VASP
! - symmetry = C2/c, No. 15
! - M_tot (μB per formula unit) = 0.000
! - total energy (Ry/atom) = -0.184
! - formation energy without anion corrections (eV/f.u.) = -4.49
&SYSTEM
  ibrav = 0, nat = 20, ntyp = 4
/
ATOMIC_SPECIES
Rb 85.47 Rb.upf
Ag 107.87 Ag.upf
Ge 72.64 Ge.upf
I 126.90 I.upf
CELL_PARAMETERS angstrom
-3.975 6.304 3.950
-1.909 -3.029 10.572
7.515 5.962 5.707
ATOMIC_POSITIONS angstrom
Rb -1.640 -0.248 10.907
Rb 3.270 9.485 9.321
Ag 2.753 3.187 12.755
Ag 0.138 2.204 5.874
Ag -1.123 6.050 7.473
Ag 1.492 7.033 14.355
Ge 4.273 5.394 7.854
Ge -2.643 3.843 12.374
I 2.986 3.034 15.823
I -1.470 1.046 3.516
I -1.356 6.203 4.406
I 3.100 8.191 16.713
I -0.075 3.133 11.765
I 0.789 0.182 7.987
I 1.705 6.104 8.463
I 0.841 9.055 12.241
I -0.681 6.902 16.006
I -1.844 3.419 7.317
I 2.311 2.335 4.223
I 3.474 5.818 12.911